A relaxed structure of MgGa4CoO8, computed with GGA+U.

- Symmetry: R3m
- Total moment: 0.22 μB/atom
- DFT total energy: -5.9907 eV/atom

```
14
Lattice="2.9870 1.7245 4.8600 -2.9870 1.7245 4.8600 0.0000 -3.4490 4.8600" Properties=species:S:1:pos:R:3 pbc="T T T"
Mg 0.0000 0.0000 0.0000
Ga -1.5305 -0.8836 6.6217
Ga 0.0000 0.0000 3.5351
Ga 1.5305 -0.8836 6.6217
Ga 0.0000 1.7673 6.6217
Co 0.0000 0.0000 9.0961
O 0.0000 -1.6403 7.7655
O -1.4205 0.8201 7.7655
O 0.0000 0.0000 5.4949
O -1.3884 -0.8016 10.3978
O 1.4205 0.8201 7.7655
O 0.0000 0.0000 12.5937
O 1.3884 -0.8016 10.3978
O 0.0000 1.6032 10.3978
```